# Gd2ErCo2B2P3 | OQMD via LeMat-Bulk | PBE | optimized geometry
# - size of the total moment (μB per formula unit) = 0.0
# - DFT total energy (eV per cell) = -133.119
data_Gd2ErCo2B2P3
_chemical_formula_sum 'Gd4 Er2 Co4 B4 P6'
_cell_length_a 3.873
_cell_length_b 3.873
_cell_length_c 21.808
_cell_angle_alpha 90.00
_cell_angle_beta 90.00
_cell_angle_gamma 90.00
_symmetry_space_group_name_H-M 'I 4/m m m'
_symmetry_Int_Tables_number 139
_symmetry_space_group_name_Hall '-I 4 2'
loop_
_atom_site_label
_atom_site_fract_x
_atom_site_fract_y
_atom_site_fract_z
Gd1 0.000 0.000 0.138
Er1 0.000 0.000 0.500
Co1 0.000 0.500 0.250
B1 0.000 0.000 0.285
P1 0.000 0.000 0.000
P2 0.000 0.000 0.376